Here is an optimized crystal structure of MnAl2SiO6 from the Alexandria database. Energies are from PBE+U.

Calculated values
Its size of the total moment is 5.000 μB/cell. Its raw total energy is -7.59 eV per atom. The density is 4.2 Mg/m³.

Lattice parameters (Å, degrees): 4.896 4.896 5.271 62.33 62.33 60.00
Last column: magnetic moment on the atom in μB.
Fractional positions:
Mn  0.798  0.798  0.607  4.62
Al  0.522  0.522  0.434  0.00
Al  0.012  0.012  0.964  0.00
Si  0.322  0.322  0.034  0.01
O  0.586  0.251  0.228  0.02
O  0.251  0.935  0.228  0.02
O  0.934  0.586  0.228  0.02
O  0.368  0.714  0.764  0.03
O  0.714  0.154  0.764  0.03
O  0.154  0.368  0.764  0.03